DFT (PBE) results for a relaxed structure of KHfSbI2.

Computed properties:
* symmetry: P4/mmm (123)
* uncorrected energy: -20.85 eV for the cell shown
* ΔE_f (raw): -2.6 eV/f.u.

abc: 5.886 5.886 5.566
angles: 90.00 90.00 90.00
Element x y z (fractional)
Hf  0.000  0.000  0.000
K  0.500  0.500  0.500
I  0.500  0.000  0.000
I  0.000  0.500  0.000
Sb  0.000  0.000  0.500